First-principles (PBE-GGA) data for crystalline LiTl2Cr2 at its relaxed geometry, as listed in the Alexandria database.

Calculated values
- energy of formation (eV/atom) = 0.53
- relative energy among the computed polymorphs (meV per atom) = 0
- space-group type = P4/mbm
- calculated volume (A^3/atom) = 19.08

Unit cell a=7.738 b=7.738 c=3.186 alpha=90.00 beta=90.00 gamma=90.00
Element x y z (fractional)
Cr (0.414, 0.914, 0.000)
Cr (0.914, 0.586, 0.000)
Cr (0.586, 0.086, 0.000)
Cr (0.086, 0.414, 0.000)
Tl (0.203, 0.703, 0.500)
Tl (0.703, 0.797, 0.500)
Tl (0.797, 0.297, 0.500)
Tl (0.297, 0.203, 0.500)
Li (0.000, 0.000, 0.000)
Li (0.500, 0.500, 0.000)